## P
Computed, not measured: an optimized crystal structure of CaY3Zn at the PBE-GGA level of DFT.

Calculated values
N(E_F), states/eV/cell: 6.0
SG: Pm-3m (221)

The structure in POSCAR format:
```
CaY3Zn
1.0
5.5629 0.0000 0.0000
0.0000 5.5629 0.0000
0.0000 0.0000 5.5629
Y Zn Ca
3 1 1
Direct
0.0000 0.5000 0.0000
0.5000 0.0000 0.0000
0.0000 0.0000 0.5000
0.0000 0.0000 0.0000
0.5000 0.5000 0.5000
```

## Q
Computed, not measured: an optimized crystal structure of CaY3Zn at the PBE-GGA level of DFT.

Calculated values
N(E_F), states/eV/cell: 4.2
SG: Pm-3m (221)

The structure in POSCAR format:
```
CaY3Zn
1.0
5.5577 0.0000 0.0000
0.0000 5.5577 0.0000
0.0000 0.0000 5.5577
Y Ca Zn
3 1 1
Direct
0.0000 0.0000 0.5000
0.0000 0.5000 0.0000
0.5000 0.0000 0.0000
0.0000 0.0000 0.0000
0.5000 0.5000 0.5000
```

Bottom line: P, by a margin of 928 meV/atom.

## P
Computed, not measured: an optimized crystal structure of CaY2Zr at the PBE-GGA level of DFT.

Calculated values
N(E_F), states/eV/cell: 7.8
SG: P4/mmm (123)

The structure in POSCAR format:
```
CaY2Zr
1.0
5.8186 0.0000 0.0000
0.0000 5.8186 0.0000
0.0000 0.0000 3.6120
Y Ca Zr
2 1 1
Direct
0.0000 0.0000 0.0000
0.5000 0.5000 0.0000
0.0000 0.5000 0.5000
0.5000 0.0000 0.5000
```

## Q
Computed, not measured: an optimized crystal structure of CaY2Zr at the PBE-GGA level of DFT.

Calculated values
N(E_F), states/eV/cell: 6.1
SG: Cmmm (65)

The structure in POSCAR format:
```
CaY2Zr
1.0
7.8891 -0.0042 -0.0137
-3.1800 5.1720 0.0045
1.5291 0.9370 2.9678
Y Zr Ca
2 1 1
Direct
0.5000 0.0000 0.5000
0.0000 0.0000 0.0000
0.0000 0.5000 0.5000
0.5000 0.5000 0.0000
```

## R
Computed, not measured: an optimized crystal structure of CaY2Zr at the PBE-GGA level of DFT.

Calculated values
N(E_F), states/eV/cell: 6.1
SG: R3m (160)

The structure in POSCAR format:
```
CaY2Zr
1.0
3.5135 0.0000 0.0000
1.7567 3.0427 0.0000
1.7567 1.0142 11.6956
Ca Y Zr
1 2 1
Direct
0.5003 0.5003 0.4990
0.0744 0.0744 0.7767
0.2587 0.2587 0.2238
0.6665 0.6665 0.0006
```

## S
Computed, not measured: an optimized crystal structure of CaY2Zr at the PBE-GGA level of DFT.

Calculated values
N(E_F), states/eV/cell: 6.3
SG: P4mm (99)

The structure in POSCAR format:
```
CaY2Zr
1.0
3.4496 0.0000 0.0000
0.0000 3.4496 0.0000
0.0000 0.0000 10.4325
Zr Y Ca
1 2 1
Direct
0.0000 0.0000 0.4822
0.5000 0.5000 0.2718
0.0000 0.0000 0.0127
0.5000 0.5000 0.7333
```

Bottom line: R, by a margin of 56 meV/atom.

## P
Computed, not measured: an optimized crystal structure of CaY2Zr at the PBE-GGA level of DFT.

Calculated values
N(E_F), states/eV/cell: 7.4
SG: P4/mmm (123)

The structure in POSCAR format:
```
CaY2Zr
1.0
4.8059 0.0000 0.0000
0.0000 5.0220 0.0000
0.0000 0.0000 5.0220
Zr Y Ca
1 2 1
Direct
0.5000 0.5000 0.0000
0.0000 0.0000 0.0000
0.0000 0.5000 0.5000
0.5000 0.0000 0.5000
```

## Q
Computed, not measured: an optimized crystal structure of CaY2Zr at the PBE-GGA level of DFT.

Calculated values
N(E_F), states/eV/cell: 6.6
SG: Immm (71)

The structure in POSCAR format:
```
CaY2Zr
1.0
6.8301 0.0040 -0.0030
3.2209 6.0230 0.0030
-4.1429 -4.4854 3.0607
Ca Zr Y
1 1 2
Direct
0.2500 0.7500 0.5000
0.7500 0.2500 0.5000
0.5230 0.5230 0.0000
0.9770 0.9770 0.0000
```

Bottom line: P, by a margin of 16 meV/atom.

## P
Computed, not measured: an optimized crystal structure of CaY2Zr at the PBE-GGA level of DFT.

Calculated values
N(E_F), states/eV/cell: 7.2
SG: I-4m2 (119)

The structure in POSCAR format:
```
CaY2Zr
1.0
6.0944 0.0265 0.0000
2.0887 5.7254 0.0000
-4.0916 -2.8759 3.4829
Ca Zr Y
1 1 2
Direct
0.7500 0.2500 0.5000
0.5000 0.5000 0.0000
0.0000 0.0000 0.0000
0.2500 0.7500 0.5000
```

## Q
Computed, not measured: an optimized crystal structure of CaY2Zr at the PBE-GGA level of DFT.

Calculated values
N(E_F), states/eV/cell: 10.8
SG: I-42d (122)

The structure in POSCAR format:
```
CaY2Zr
1.0
-4.3150 -0.4599 1.8509
1.4589 -3.7448 2.4708
1.5780 4.8287 10.8910
Y Ca Zr
4 2 2
Direct
0.8750 0.8911 0.7500
0.1089 0.6250 0.2500
0.6411 0.1250 0.2500
0.3750 0.3589 0.7500
0.2500 0.7500 0.5000
0.5000 0.5000 0.0000
0.0000 0.0000 0.0000
0.7500 0.2500 0.5000
```

Bottom line: P, by a margin of 397 meV/atom.